Density functional theory data (GGA+U) for a relaxed structure of NaPm2VO6.

Properties
* symmetry: No. 99
* total moment: 0.04 μB per formula unit
* raw total energy: -7.310 eV per atom

a = 5.069 Å, b = 5.329 Å, c = 5.329 Å
α = 90.00°, β = 90.00°, γ = 90.00°
Element x y z (fractional)
Na1 0.556 0.500 0.500
Pm1 0.998 0.500 0.000
Pm2 0.998 0.000 0.500
V1 0.602 0.000 0.000
O1 0.730 0.228 0.228
O2 0.730 0.228 0.772
O3 0.123 0.500 0.500
O4 0.251 0.000 0.000
O5 0.730 0.772 0.772
O6 0.730 0.772 0.228